No. 1
A relaxed structure of LiHC2O4, computed with PBE.

CIF file:
```
data_LiHC2O4
_symmetry_space_group_name_H-M 'P 1'
_symmetry_Int_Tables_number 1
_cell_length_a 3.5234
_cell_length_b 4.8532
_cell_length_c 6.6831
_cell_angle_alpha 81.03
_cell_angle_beta 100.54
_cell_angle_gamma 80.56
loop_
_symmetry_equiv_pos_as_xyz
'x,y,z'
loop_
_atom_site_label
_atom_site_fract_x
_atom_site_fract_y
_atom_site_fract_z
Li1 0.6047 0.5699 0.3049
H1 0.2554 0.0442 0.5128
C1 0.5770 0.4477 0.8718
C2 0.0336 0.9835 0.3961
O1 0.7399 0.2734 0.7967
O2 0.7416 0.1716 0.2981
O3 0.4135 0.6273 0.9437
O4 0.0954 0.7224 0.3749
```


No. 2
A relaxed structure of BaNiRu2, computed with PBE.

Values from the calculation:
The calculation puts the relative energy among the computed polymorphs at 333 kJ/mol of formula units. The calculation puts the energy relative to the elements at 1.109 eV/atom.

CIF file:
```
data_BaNiRu2
_symmetry_space_group_name_H-M 'P 1'
_symmetry_Int_Tables_number 1
_cell_length_a 5.1667
_cell_length_b 5.1667
_cell_length_c 5.1667
_cell_angle_alpha 132.19
_cell_angle_beta 132.19
_cell_angle_gamma 69.93
loop_
_symmetry_equiv_pos_as_xyz
'x,y,z'
loop_
_atom_site_label
_atom_site_fract_x
_atom_site_fract_y
_atom_site_fract_z
Ba1 0.2500 0.7500 0.5000
Ni1 0.7500 0.2500 0.5000
Ru1 0.0000 0.0000 0.0000
Ru2 0.5000 0.5000 0.0000
```


No. 3
A relaxed structure of BeZnCdCuIr, computed with PBE.

Values from the calculation:
The calculation puts the relative energy among the computed polymorphs at 33 kJ/mol of formula units. The calculation puts the energy relative to the elements at -0.086 eV/atom.

CIF file:
```
data_BeZnCdCuIr
_symmetry_space_group_name_H-M 'P 1'
_symmetry_Int_Tables_number 1
_cell_length_a 2.9896
_cell_length_b 2.9896
_cell_length_c 15.8987
_cell_angle_alpha 90.00
_cell_angle_beta 90.00
_cell_angle_gamma 90.00
loop_
_symmetry_equiv_pos_as_xyz
'x,y,z'
loop_
_atom_site_label
_atom_site_fract_x
_atom_site_fract_y
_atom_site_fract_z
Be1 0.0000 0.0000 0.7226
Be2 0.5000 0.5000 0.2226
Zn1 0.0000 0.0000 0.3259
Zn2 0.5000 0.5000 0.8259
Ir1 0.0000 0.0000 0.1642
Ir2 0.5000 0.5000 0.6642
Cu1 0.0000 0.0000 0.5612
Cu2 0.5000 0.5000 0.0612
Cd1 0.0000 0.0000 0.9497
Cd2 0.5000 0.5000 0.4497
```


Number 1: E_tot -53.9 eV per cell. Number 2: E_tot -21.8 eV per cell. Number 3: E_tot -38.6 eV per cell.